No. 1
The following is a DFT calculation (GGA-PBE) of crystalline BaPrPuO6 at its relaxed geometry.

The space group is No. 163.

Geometry as CIF:
```
data_BaPrPuO6
_space_group_name_H-M_alt 'P 1'
_space_group_IT_number 1
_cell_length_a 6.047
_cell_length_b 6.047
_cell_length_c 10.729
_cell_angle_alpha 90.00
_cell_angle_beta 90.00
_cell_angle_gamma 120.00
loop_
_space_group_symop_operation_xyz
'x,y,z'
loop_
_atom_site_label
_atom_site_type_symbol
_atom_site_fract_x
_atom_site_fract_y
_atom_site_fract_z
Ba1 Ba 0.000 0.000 0.000
Ba2 Ba 0.000 0.000 0.500
Pr1 Pr 0.333 0.667 0.250
Pr2 Pr 0.667 0.333 0.750
Pu1 Pu 0.333 0.667 0.750
Pu2 Pu 0.667 0.333 0.250
O1 O 0.046 0.396 0.647
O2 O 0.046 0.650 0.853
O3 O 0.350 0.396 0.853
O4 O 0.350 0.954 0.647
O5 O 0.396 0.046 0.147
O6 O 0.396 0.350 0.353
O7 O 0.604 0.650 0.647
O8 O 0.604 0.954 0.853
O9 O 0.650 0.046 0.353
O10 O 0.650 0.604 0.147
O11 O 0.954 0.350 0.147
O12 O 0.954 0.604 0.353
```

=====

No. 2
The following is a DFT calculation (GGA-PBE) of crystalline Ba3PrRh2O9 at its relaxed geometry.

Its density of states at the Fermi level is 0.36 states/eV/atom. The space group is No. 164.

Geometry as CIF:
```
data_Ba3PrRh2O9
_space_group_name_H-M_alt 'P 1'
_space_group_IT_number 1
_cell_length_a 5.942
_cell_length_b 5.942
_cell_length_c 7.411
_cell_angle_alpha 90.00
_cell_angle_beta 90.00
_cell_angle_gamma 120.00
loop_
_space_group_symop_operation_xyz
'x,y,z'
loop_
_atom_site_label
_atom_site_type_symbol
_atom_site_fract_x
_atom_site_fract_y
_atom_site_fract_z
Ba1 Ba 0.000 0.000 0.000
Ba2 Ba 0.333 0.667 0.689
Ba3 Ba 0.667 0.333 0.311
Pr1 Pr 0.000 0.000 0.500
Rh1 Rh 0.333 0.667 0.156
Rh2 Rh 0.667 0.333 0.844
O1 O 0.000 0.500 0.000
O2 O 0.179 0.358 0.311
O3 O 0.179 0.821 0.311
O4 O 0.358 0.179 0.689
O5 O 0.500 0.000 0.000
O6 O 0.500 0.500 0.000
O7 O 0.642 0.821 0.311
O8 O 0.821 0.179 0.689
O9 O 0.821 0.642 0.689
```

=====

No. 3
The following is a DFT calculation (GGA-PBE) of crystalline BaPrRhO4 at its relaxed geometry.

Its density of states at the Fermi level is 0.13 states/eV/atom. The space group is No. 107.

Geometry as CIF:
```
data_BaPrRhO4
_space_group_name_H-M_alt 'P 1'
_space_group_IT_number 1
_cell_length_a 6.999
_cell_length_b 6.999
_cell_length_c 6.999
_cell_angle_alpha 146.49
_cell_angle_beta 146.49
_cell_angle_gamma 48.12
loop_
_space_group_symop_operation_xyz
'x,y,z'
loop_
_atom_site_label
_atom_site_type_symbol
_atom_site_fract_x
_atom_site_fract_y
_atom_site_fract_z
Ba1 Ba 0.000 0.000 0.000
Pr1 Pr 0.718 0.718 0.000
Rh1 Rh 0.361 0.361 0.000
O1 O 0.198 0.198 0.000
O2 O 0.335 0.835 0.500
O3 O 0.533 0.533 0.000
O4 O 0.835 0.335 0.500
```

=====

No. 4
The following is a DFT calculation (GGA-PBE) of crystalline BaPrRuO6 at its relaxed geometry.

Its density of states at the Fermi level is 0.60 states/eV/atom. The space group is No. 149.

Geometry as CIF:
```
data_BaPrRuO6
_space_group_name_H-M_alt 'P 1'
_space_group_IT_number 1
_cell_length_a 5.773
_cell_length_b 5.773
_cell_length_c 5.557
_cell_angle_alpha 90.00
_cell_angle_beta 90.00
_cell_angle_gamma 120.00
loop_
_space_group_symop_operation_xyz
'x,y,z'
loop_
_atom_site_label
_atom_site_type_symbol
_atom_site_fract_x
_atom_site_fract_y
_atom_site_fract_z
Ba1 Ba 0.000 0.000 0.000
Pr1 Pr 0.333 0.667 0.500
Ru1 Ru 0.667 0.333 0.500
O1 O 0.399 0.056 0.698
O2 O 0.399 0.343 0.302
O3 O 0.657 0.056 0.302
O4 O 0.657 0.601 0.698
O5 O 0.944 0.343 0.698
O6 O 0.944 0.601 0.302
```

=====

No. 5
The following is a DFT calculation (GGA-PBE) of crystalline Ba2PrRuO6 at its relaxed geometry.

Its density of states at the Fermi level is 0.11 states/eV/atom. The space group is No. 12.

Geometry as CIF:
```
data_Ba2PrRuO6
_space_group_name_H-M_alt 'P 1'
_space_group_IT_number 1
_cell_length_a 6.076
_cell_length_b 6.076
_cell_length_c 6.127
_cell_angle_alpha 120.00
_cell_angle_beta 120.00
_cell_angle_gamma 59.97
loop_
_space_group_symop_operation_xyz
'x,y,z'
loop_
_atom_site_label
_atom_site_type_symbol
_atom_site_fract_x
_atom_site_fract_y
_atom_site_fract_z
Ba1 Ba 0.248 0.248 0.245
Ba2 Ba 0.752 0.752 0.755
Pr1 Pr 0.000 0.000 0.500
Ru1 Ru 0.500 0.500 0.000
O1 O 0.243 0.705 0.202
O2 O 0.272 0.272 0.722
O3 O 0.295 0.757 0.798
O4 O 0.705 0.243 0.202
O5 O 0.728 0.728 0.278
O6 O 0.757 0.295 0.798
```

=====

No. 6
The following is a DFT calculation (GGA-PBE) of crystalline BaPr2RuO8 at its relaxed geometry.

Its density of states at the Fermi level is 0.40 states/eV/atom. The space group is No. 10.

Geometry as CIF:
```
data_BaPr2RuO8
_space_group_name_H-M_alt 'P 1'
_space_group_IT_number 1
_cell_length_a 4.367
_cell_length_b 5.389
_cell_length_c 7.263
_cell_angle_alpha 90.00
_cell_angle_beta 107.14
_cell_angle_gamma 90.00
loop_
_space_group_symop_operation_xyz
'x,y,z'
loop_
_atom_site_label
_atom_site_type_symbol
_atom_site_fract_x
_atom_site_fract_y
_atom_site_fract_z
Ba1 Ba 0.000 0.000 0.000
Pr1 Pr 0.334 0.500 0.699
Pr2 Pr 0.666 0.500 0.301
Ru1 Ru 0.500 0.000 0.500
O1 O 0.171 0.500 0.001
O2 O 0.202 0.264 0.387
O3 O 0.202 0.736 0.387
O4 O 0.388 0.000 0.743
O5 O 0.612 0.000 0.257
O6 O 0.798 0.264 0.613
O7 O 0.798 0.736 0.613
O8 O 0.829 0.500 0.999
```

=====

No. 7
The following is a DFT calculation (GGA-PBE) of crystalline BaPr2Sc2O7 at its relaxed geometry.

Its density of states at the Fermi level is 0.00 states/eV/atom. The space group is No. 136.

Geometry as CIF:
```
data_BaPr2Sc2O7
_space_group_name_H-M_alt 'P 1'
_space_group_IT_number 1
_cell_length_a 5.864
_cell_length_b 5.864
_cell_length_c 20.584
_cell_angle_alpha 90.00
_cell_angle_beta 90.00
_cell_angle_gamma 90.00
loop_
_space_group_symop_operation_xyz
'x,y,z'
loop_
_atom_site_label
_atom_site_type_symbol
_atom_site_fract_x
_atom_site_fract_y
_atom_site_fract_z
Ba1 Ba 0.241 0.241 0.000
Ba2 Ba 0.259 0.741 0.500
Ba3 Ba 0.741 0.259 0.500
Ba4 Ba 0.759 0.759 0.000
Pr1 Pr 0.226 0.226 0.184
Pr2 Pr 0.226 0.226 0.816
Pr3 Pr 0.274 0.726 0.316
Pr4 Pr 0.274 0.726 0.684
Pr5 Pr 0.726 0.274 0.316
Pr6 Pr 0.726 0.274 0.684
Pr7 Pr 0.774 0.774 0.184
Pr8 Pr 0.774 0.774 0.816
Sc1 Sc 0.242 0.242 0.399
Sc2 Sc 0.242 0.242 0.601
Sc3 Sc 0.258 0.742 0.101
Sc4 Sc 0.258 0.742 0.899
Sc5 Sc 0.742 0.258 0.101
Sc6 Sc 0.742 0.258 0.899
Sc7 Sc 0.758 0.758 0.399
Sc8 Sc 0.758 0.758 0.601
O1 O 0.000 0.000 0.094
O2 O 0.000 0.000 0.372
O3 O 0.000 0.000 0.628
O4 O 0.000 0.000 0.906
O5 O 0.000 0.500 0.113
O6 O 0.000 0.500 0.387
O7 O 0.000 0.500 0.613
O8 O 0.000 0.500 0.887
O9 O 0.187 0.813 0.209
O10 O 0.187 0.813 0.791
O11 O 0.216 0.216 0.500
O12 O 0.284 0.716 0.000
O13 O 0.313 0.313 0.291
O14 O 0.313 0.313 0.709
O15 O 0.500 0.000 0.113
O16 O 0.500 0.000 0.387
O17 O 0.500 0.000 0.613
O18 O 0.500 0.000 0.887
O19 O 0.500 0.500 0.128
O20 O 0.500 0.500 0.406
O21 O 0.500 0.500 0.594
O22 O 0.500 0.500 0.872
O23 O 0.687 0.687 0.291
O24 O 0.687 0.687 0.709
O25 O 0.716 0.284 0.000
O26 O 0.784 0.784 0.500
O27 O 0.813 0.187 0.209
O28 O 0.813 0.187 0.791
```

=====

No. 8
The following is a DFT calculation (GGA-PBE) of crystalline BaPr2ScO5 at its relaxed geometry.

Its density of states at the Fermi level is 0.20 states/eV/atom. The space group is No. 71.

Geometry as CIF:
```
data_BaPr2ScO5
_space_group_name_H-M_alt 'P 1'
_space_group_IT_number 1
_cell_length_a 6.967
_cell_length_b 6.967
_cell_length_c 6.967
_cell_angle_alpha 146.42
_cell_angle_beta 128.54
_cell_angle_gamma 62.85
loop_
_space_group_symop_operation_xyz
'x,y,z'
loop_
_atom_site_label
_atom_site_type_symbol
_atom_site_fract_x
_atom_site_fract_y
_atom_site_fract_z
Ba1 Ba 0.000 0.000 0.000
Pr1 Pr 0.287 0.787 0.500
Pr2 Pr 0.713 0.213 0.500
Sc1 Sc 0.500 0.500 0.000
O1 O 0.128 0.362 0.766
O2 O 0.404 0.638 0.766
O3 O 0.500 0.000 0.500
O4 O 0.596 0.362 0.234
O5 O 0.872 0.638 0.234
```

=====

No. 9
The following is a DFT calculation (GGA-PBE) of crystalline Ba2PrSeO6 at its relaxed geometry.

Its density of states at the Fermi level is 0.40 states/eV/atom. The space group is No. 139.

Geometry as CIF:
```
data_Ba2PrSeO6
_space_group_name_H-M_alt 'P 1'
_space_group_IT_number 1
_cell_length_a 6.076
_cell_length_b 6.076
_cell_length_c 6.076
_cell_angle_alpha 119.96
_cell_angle_beta 119.96
_cell_angle_gamma 90.07
loop_
_space_group_symop_operation_xyz
'x,y,z'
loop_
_atom_site_label
_atom_site_type_symbol
_atom_site_fract_x
_atom_site_fract_y
_atom_site_fract_z
Ba1 Ba 0.250 0.750 0.500
Ba2 Ba 0.750 0.250 0.500
Pr1 Pr 0.000 0.000 0.000
Se1 Se 0.500 0.500 0.000
O1 O 0.271 0.271 0.000
O2 O 0.271 0.271 0.542
O3 O 0.271 0.729 0.000
O4 O 0.729 0.271 0.000
O5 O 0.729 0.729 0.000
O6 O 0.729 0.729 0.458
```

=====

No. 10
The following is a DFT calculation (GGA-PBE) of crystalline BaPrSi2O6 at its relaxed geometry.

Its density of states at the Fermi level is 0.16 states/eV/atom. The space group is No. 15.

Geometry as CIF:
```
data_BaPrSi2O6
_space_group_name_H-M_alt 'P 1'
_space_group_IT_number 1
_cell_length_a 6.876
_cell_length_b 6.876
_cell_length_c 7.205
_cell_angle_alpha 101.06
_cell_angle_beta 101.06
_cell_angle_gamma 105.31
loop_
_space_group_symop_operation_xyz
'x,y,z'
loop_
_atom_site_label
_atom_site_type_symbol
_atom_site_fract_x
_atom_site_fract_y
_atom_site_fract_z
Ba1 Ba 0.189 0.811 0.750
Ba2 Ba 0.811 0.189 0.250
Pr1 Pr 0.409 0.591 0.250
Pr2 Pr 0.591 0.409 0.750
Si1 Si 0.101 0.293 0.750
Si2 Si 0.293 0.101 0.250
Si3 Si 0.707 0.899 0.750
Si4 Si 0.899 0.707 0.250
O1 O 0.088 0.626 0.340
O2 O 0.159 0.206 0.110
O3 O 0.206 0.159 0.610
O4 O 0.295 0.492 0.894
O5 O 0.374 0.912 0.160
O6 O 0.492 0.295 0.394
O7 O 0.508 0.705 0.606
O8 O 0.626 0.088 0.840
O9 O 0.705 0.508 0.106
O10 O 0.794 0.841 0.390
O11 O 0.841 0.794 0.890
O12 O 0.912 0.374 0.660
```

=====

No. 11
The following is a DFT calculation (GGA-PBE) of crystalline Ba4PrSn3O12 at its relaxed geometry.

Its density of states at the Fermi level is 0.64 states/eV/atom. The space group is No. 229.

Geometry as CIF:
```
data_Ba4PrSn3O12
_space_group_name_H-M_alt 'P 1'
_space_group_IT_number 1
_cell_length_a 7.464
_cell_length_b 7.464
_cell_length_c 7.464
_cell_angle_alpha 109.47
_cell_angle_beta 109.47
_cell_angle_gamma 109.47
loop_
_space_group_symop_operation_xyz
'x,y,z'
loop_
_atom_site_label
_atom_site_type_symbol
_atom_site_fract_x
_atom_site_fract_y
_atom_site_fract_z
Ba1 Ba 0.000 0.000 0.500
Ba2 Ba 0.000 0.500 0.000
Ba3 Ba 0.500 0.000 0.000
Ba4 Ba 0.500 0.500 0.500
Pr1 Pr 0.000 0.000 0.000
Sn1 Sn 0.000 0.500 0.500
Sn2 Sn 0.500 0.000 0.500
Sn3 Sn 0.500 0.500 0.000
O1 O 0.000 0.267 0.267
O2 O 0.000 0.733 0.733
O3 O 0.250 0.500 0.750
O4 O 0.250 0.750 0.500
O5 O 0.267 0.000 0.267
O6 O 0.267 0.267 0.000
O7 O 0.500 0.250 0.750
O8 O 0.500 0.750 0.250
O9 O 0.733 0.000 0.733
O10 O 0.733 0.733 0.000
O11 O 0.750 0.250 0.500
O12 O 0.750 0.500 0.250
```

=====

No. 12
The following is a DFT calculation (GGA-PBE) of crystalline BaSrPrTiO6 at its relaxed geometry.

Its density of states at the Fermi level is 0.78 states/eV/atom. The space group is No. 216.

Geometry as CIF:
```
data_BaSrPrTiO6
_space_group_name_H-M_alt 'P 1'
_space_group_IT_number 1
_cell_length_a 6.079
_cell_length_b 6.079
_cell_length_c 6.079
_cell_angle_alpha 60.00
_cell_angle_beta 60.00
_cell_angle_gamma 60.00
loop_
_space_group_symop_operation_xyz
'x,y,z'
loop_
_atom_site_label
_atom_site_type_symbol
_atom_site_fract_x
_atom_site_fract_y
_atom_site_fract_z
Ba1 Ba 0.000 0.000 0.000
Sr1 Sr 0.500 0.500 0.500
Pr1 Pr 0.750 0.750 0.750
Ti1 Ti 0.250 0.250 0.250
O1 O 0.021 0.021 0.479
O2 O 0.021 0.479 0.021
O3 O 0.021 0.479 0.479
O4 O 0.479 0.021 0.021
O5 O 0.479 0.021 0.479
O6 O 0.479 0.479 0.021
```

=====

No. 13
The following is a DFT calculation (GGA-PBE) of crystalline BaSrPrTiO6 at its relaxed geometry.

Its density of states at the Fermi level is 0.86 states/eV/atom. The space group is No. 2.

Geometry as CIF:
```
data_BaSrPrTiO6
_space_group_name_H-M_alt 'P 1'
_space_group_IT_number 1
_cell_length_a 6.028
_cell_length_b 6.056
_cell_length_c 8.514
_cell_angle_alpha 89.34
_cell_angle_beta 89.14
_cell_angle_gamma 89.81
loop_
_space_group_symop_operation_xyz
'x,y,z'
loop_
_atom_site_label
_atom_site_type_symbol
_atom_site_fract_x
_atom_site_fract_y
_atom_site_fract_z
Ba1 Ba 0.006 0.023 0.250
Ba2 Ba 0.994 0.977 0.750
Sr1 Sr 0.486 0.536 0.246
Sr2 Sr 0.514 0.464 0.754
Pr1 Pr 0.000 0.500 0.000
Pr2 Pr 0.500 0.000 0.500
Ti1 Ti 0.000 0.500 0.500
Ti2 Ti 0.500 0.000 0.000
O1 O 0.087 0.501 0.726
O2 O 0.205 0.751 0.461
O3 O 0.243 0.800 0.030
O4 O 0.253 0.298 0.451
O5 O 0.309 0.264 0.047
O6 O 0.436 0.040 0.773
O7 O 0.564 0.960 0.227
O8 O 0.691 0.736 0.953
O9 O 0.747 0.702 0.549
O10 O 0.757 0.200 0.970
O11 O 0.795 0.249 0.539
O12 O 0.913 0.499 0.274
```

=====

Computed final energy, in the same sequence as the records: -8.443; -6.628; -7.006; -6.940; -7.086; -7.145; -8.239; -7.822; -6.353; -7.398; -6.477; -7.369; -7.406 eV per atom.
Computed volume, in the same sequence as the records: 169.8; 226.6; 104.1; 160.4; 159.9; 163.3; 177.0; 144.7; 158.7; 155.9; 320.2; 158.9; 155.4 Å³/f.u..